Si2Br after structural relaxation, computed with PBE-GGA.

extended XYZ file:
```
6
Lattice="0.000 3.876 3.876 3.876 0.000 3.876 3.876 3.876 0.000" Properties=species:S:1:pos:R:3 pbc="T T T"
Si 2.907 2.907 0.969
Si 2.907 0.969 2.907
Si 0.969 2.907 2.907
Si 0.969 0.969 0.969
Br 3.876 3.876 3.876
Br 5.813 5.813 5.813
```

Properties
- DOS at the Fermi energy (states/eV/f.u.) = 3.8
- space-group type = Fd-3m (227)
- energy above the lowest structure with this stoichiometry (kJ per mole of atoms) = 92.9
- magnetic moment (μB per cell) = 0.0